1.
A geometry-optimized Ce2Al5ZnFe2 structure. Source: the Alexandria database, functional PBE.

It has space group P4/mbm (No. 127), with a = 9.014 Å, b = 9.014 Å, c = 4.278 Å, α = 90.00°, β = 90.00° and γ = 90.00°. The inequivalent atoms are Ce at (0.186, 0.314, 0.000), Al at (0.000, 0.500, 0.500), Al at (0.059, 0.790, 0.500), Zn at (0.000, 0.000, 0.000) and Fe at (0.136, 0.636, 0.000).

As for the density of states at the Fermi level: 15.21 states/eV per cell. The formation energy from the elements is -0.3221 eV/atom. The total moment comes out at 0.0 μB/f.u.

2.
A geometry-optimized La2Ho17 structure. Source: the Alexandria database, functional PBE.

It has space group R-3m (No. 166, hexagonal axes), with a = 11.3191 Å, b = 11.3191 Å, c = 17.2996 Å, α = 90.00°, β = 90.00° and γ = 120.00°. The inequivalent atoms are La at (0.0000, 0.0000, 0.1684), Ho at (0.0000, 0.0000, 0.4018), Ho at (0.0000, 0.2972, 0.5000), Ho at (0.0000, 0.5000, 0.0000) and Ho at (0.0082, 0.5041, 0.6410).

As for the density of states at the Fermi level: 123.61 states/eV per cell. The formation energy from the elements is 0.2720 eV/atom. The total moment comes out at 1.2 μB/f.u.

3.
A geometry-optimized Tl2InSi2 structure. Source: the Alexandria database, functional PBE.

It has space group I4/mmm (No. 139), with a = 3.498 Å, b = 3.498 Å, c = 20.508 Å, α = 90.00°, β = 90.00° and γ = 90.00°. The inequivalent atoms are Tl at (0.000, 0.000, 0.121), In at (0.000, 0.000, 0.500) and Si at (0.000, 0.500, 0.250).

As for the density of states at the Fermi level: 4.28 states/eV per cell. The total moment comes out at 0.0 μB/f.u. The relative energy among the computed polymorphs is 0.000 kcal/mol of atoms. As for the uncorrected formation energy: 0.238 eV/atom.

4.
A geometry-optimized HPdPtRh2 structure. Source: the Alexandria database, functional PBE.

It has space group P4/mmm (No. 123), with a = 3.962 Å, b = 3.962 Å, c = 3.953 Å, α = 90.00°, β = 90.00° and γ = 90.00°. The inequivalent atoms are H at (0.000, 0.000, 0.000), Pd at (0.500, 0.500, 0.500), Pt at (0.000, 0.000, 0.500) and Rh at (0.000, 0.500, 0.000).

As for the density of states at the Fermi level: 7.56 states/eV per cell. The total moment comes out at 0.0 μB/f.u. The relative energy among the computed polymorphs is 0.604 kcal/mol of atoms.

5.
A geometry-optimized TbThSb2 structure. Source: the Alexandria database, functional PBE.

It has space group P6_3/mmc (No. 194), with a = 4.3758 Å, b = 4.3758 Å, c = 15.0393 Å, α = 90.00°, β = 90.00° and γ = 120.00°. The inequivalent atoms are Tb at (0.0000, 0.0000, 0.0000), Th at (0.3333, 0.6667, 0.2500) and Sb at (0.3333, 0.6667, 0.6195).

As for the density of states at the Fermi level: 5.90 states/eV per cell. The total moment comes out at 0.0 μB/f.u. The relative energy among the computed polymorphs is 0.968 kcal/mol of atoms. As for the uncorrected formation energy: -0.991 eV/atom.

6.
A geometry-optimized Ag3Br2 structure. Source: the Alexandria database, functional PBE.

It has space group R-3m (No. 166, hexagonal axes), with a = 3.7825 Å, b = 3.7825 Å, c = 28.6708 Å, α = 90.00°, β = 90.00° and γ = 120.00°. The inequivalent atoms are Ag at (0.0000, 0.0000, 0.0000), Ag at (0.0000, 0.0000, 0.1989) and Br at (0.0000, 0.0000, 0.3989).

As for the density of states at the Fermi level: 1.35 states/eV per cell. The total moment comes out at 0.0 μB/f.u. As for the uncorrected formation energy: -0.082 eV/atom.

7.
A geometry-optimized Sc2TlOsC structure. Source: the Alexandria database, functional PBE.

It has space group P4/mmm (No. 123), with a = 4.667 Å, b = 4.667 Å, c = 3.944 Å, α = 90.00°, β = 90.00° and γ = 90.00°. The inequivalent atoms are Sc at (0.000, 0.500, 0.000), Tl at (0.000, 0.000, 0.500), Os at (0.500, 0.500, 0.500) and C at (0.500, 0.500, 0.000).

As for the density of states at the Fermi level: 2.50 states/eV per cell. The formation energy from the elements is -0.3662 eV/atom. The total moment comes out at 0.0 μB/f.u.

8.
A geometry-optimized CeSm2Co9 structure. Source: the Alexandria database, functional PBE.

It has space group R-3m (No. 166, hexagonal axes), with a = 4.9778 Å, b = 4.9778 Å, c = 24.8273 Å, α = 90.00°, β = 90.00° and γ = 120.00°. The inequivalent atoms are Ce at (0.0000, 0.0000, 0.0000), Sm at (0.0000, 0.0000, 0.1396), Co at (0.0000, 0.0000, 0.3337), Co at (0.0000, 0.0000, 0.5000) and Co at (0.9998, 0.4999, 0.0804).

As for the density of states at the Fermi level: 53.01 states/eV per cell. The formation energy from the elements is -0.1092 eV/atom. The total moment comes out at 9.2 μB/f.u.

9.
A geometry-optimized Ho4Tl structure. Source: the Alexandria database, functional PBE.

It has space group C2/m (No. 12), with a = 17.709 Å, b = 4.823 Å, c = 6.872 Å, α = 90.00°, β = 100.03° and γ = 90.00°. The inequivalent atoms are Ho at (0.000, 0.000, 0.000), Ho at (0.000, 0.000, 0.500), Ho at (0.103, 0.500, 0.291), Ho at (0.195, 0.000, 0.596), Ho at (0.204, 0.000, 0.103) and Tl at (0.094, 0.500, 0.793).

As for the density of states at the Fermi level: 23.44 states/eV per cell. The formation energy from the elements is -0.1211 eV/atom. The total moment comes out at 0.0 μB/f.u. The relative energy among the computed polymorphs is 0.000 kcal/mol of atoms.

10.
A geometry-optimized Ce2MgAu structure. Source: the Alexandria database, functional PBE.

It has space group P4/mmm (No. 123), with a = 4.337 Å, b = 4.337 Å, c = 4.913 Å, α = 90.00°, β = 90.00° and γ = 90.00°. The inequivalent atoms are Ce at (0.000, 0.500, 0.000), Mg at (0.000, 0.000, 0.500) and Au at (0.500, 0.500, 0.500).

As for the density of states at the Fermi level: 8.19 states/eV per cell. The formation energy from the elements is -0.2921 eV/atom. The total moment comes out at 0.0 μB/f.u. The relative energy among the computed polymorphs is 0.000 kcal/mol of atoms.

11.
A geometry-optimized In2NiSb structure. Source: the Alexandria database, functional PBE.

It has space group P4mm (No. 99), with a = 3.212 Å, b = 3.212 Å, c = 8.632 Å, α = 90.00°, β = 90.00° and γ = 90.00°. The inequivalent atoms are In at (0.000, 0.000, 0.000), In at (0.500, 0.500, 0.288), Ni at (0.000, 0.000, 0.491) and Sb at (0.500, 0.500, 0.660).

As for the density of states at the Fermi level: 1.84 states/eV per cell. The total moment comes out at 0.0 μB/f.u. As for the uncorrected formation energy: -0.006 eV/atom.

12.
A geometry-optimized CsKPt structure. Source: the Alexandria database, functional PBE.

It has space group P2_1/m (No. 11), with a = 6.137 Å, b = 4.922 Å, c = 10.162 Å, α = 90.00°, β = 102.32° and γ = 90.00°. The inequivalent atoms are Cs at (0.185, 0.250, 0.307), K at (0.374, 0.250, 0.870) and Pt at (0.058, 0.750, 0.013).

As for the density of states at the Fermi level: 4.86 states/eV per cell. The formation energy from the elements is -0.0807 eV/atom. The total moment comes out at 0.0 μB/f.u. The relative energy among the computed polymorphs is 0.000 kcal/mol of atoms.

13.
A geometry-optimized Ac2Ni3Sn2 structure. Source: the Alexandria database, functional PBE.

It has space group I2_13 (No. 199), with a = 8.794 Å, b = 8.794 Å, c = 8.794 Å, α = 90.00°, β = 90.00° and γ = 90.00°. The inequivalent atoms are Ac at (0.247, 0.253, 0.747), Ni at (0.000, 0.250, 0.040) and Sn at (0.029, 0.471, 0.529).

As for the density of states at the Fermi level: 18.31 states/eV per cell. The formation energy from the elements is -0.3751 eV/atom. The total moment comes out at 0.0 μB/f.u.

14.
A geometry-optimized BeRe3O structure. Source: the Alexandria database, functional PBE.

It has space group Pm-3m (No. 221), with a = 4.030 Å, b = 4.030 Å, c = 4.030 Å, α = 90.00°, β = 90.00° and γ = 90.00°. The inequivalent atoms are Be at (0.000, 0.000, 0.000), Re at (0.000, 0.500, 0.500) and O at (0.500, 0.500, 0.500).

As for the density of states at the Fermi level: 5.16 states/eV per cell. The total moment comes out at 0.0 μB/f.u. The relative energy among the computed polymorphs is 0.000 kcal/mol of atoms. As for the uncorrected formation energy: 0.651 eV/atom.

15.
A geometry-optimized CaLuAlGa structure. Source: the Alexandria database, functional PBE.

It has space group F-43m (No. 216), with a = 7.206 Å, b = 7.206 Å, c = 7.206 Å, α = 90.00°, β = 90.00° and γ = 90.00°. The inequivalent atoms are Ca at (0.000, 0.000, 0.000), Lu at (0.000, 0.000, 0.500), Al at (0.250, 0.250, 0.250) and Ga at (0.250, 0.250, 0.750).

As for the density of states at the Fermi level: 9.44 states/eV per cell. The formation energy from the elements is -0.3487 eV/atom. The total moment comes out at 0.0 μB/f.u.

16.
A geometry-optimized TaAlZn structure. Source: the Alexandria database, functional PBE.

It has space group Cmcm (No. 63), with a = 4.932 Å, b = 7.344 Å, c = 5.388 Å, α = 90.00°, β = 90.00° and γ = 90.00°. The inequivalent atoms are Ta at (0.000, 0.169, 0.250), Al at (0.000, 0.500, 0.000) and Zn at (0.000, 0.190, 0.750).

As for the density of states at the Fermi level: 7.95 states/eV per cell. The formation energy from the elements is 0.2019 eV/atom. The total moment comes out at 0.0 μB/f.u.

17.
A geometry-optimized GaAsRh2 structure. Source: the Alexandria database, functional PBE.

It has space group R3m (No. 160, hexagonal axes), with a = 3.8873 Å, b = 3.8873 Å, c = 14.9143 Å, α = 90.00°, β = 90.00° and γ = 120.00°. The inequivalent atoms are Ga at (0.0000, 0.0000, 0.0000), As at (0.0000, 0.0000, 0.8233), Rh at (0.0000, 0.0000, 0.2313) and Rh at (0.0000, 0.0000, 0.4268).

As for the density of states at the Fermi level: 2.67 states/eV per cell. The formation energy from the elements is -0.3694 eV/atom. The total moment comes out at 0.0 μB/f.u. The relative energy among the computed polymorphs is 3.984 kcal/mol of atoms.

18.
A geometry-optimized BP2IrCl structure. Source: the Alexandria database, functional PBE.

It has space group P4/mmm (No. 123), with a = 4.511 Å, b = 4.511 Å, c = 5.295 Å, α = 90.00°, β = 90.00° and γ = 90.00°. The inequivalent atoms are B at (0.000, 0.000, 0.000), P at (0.000, 0.500, 0.500), Ir at (0.500, 0.500, 0.500) and Cl at (0.500, 0.500, 0.000).

As for the density of states at the Fermi level: 4.08 states/eV per cell. The total moment comes out at 0.0 μB/f.u. The relative energy among the computed polymorphs is 5.753 kcal/mol of atoms. As for the uncorrected formation energy: 1.295 eV/atom.

19.
A geometry-optimized Pm2Ga3Au structure. Source: the Alexandria database, functional PBE.

It has space group Fmmm (No. 69), with a = 7.697 Å, b = 8.952 Å, c = 15.553 Å, α = 90.00°, β = 90.00° and γ = 90.00°. The inequivalent atoms are Pm at (0.241, 0.000, 0.000), Pm at (0.250, 0.250, 0.250), Ga at (0.000, 0.000, 0.337), Ga at (0.000, 0.246, 0.418) and Au at (0.000, 0.000, 0.169).

As for the density of states at the Fermi level: 29.55 states/eV per cell. The formation energy from the elements is -0.7230 eV/atom. The total moment comes out at 0.0 μB/f.u.

20.
A geometry-optimized PrPIrO structure. Source: the Alexandria database, functional PBE.

It has space group P4/nmm (No. 129, origin choice 2), with a = 4.028 Å, b = 4.028 Å, c = 8.491 Å, α = 90.00°, β = 90.00° and γ = 90.00°. The inequivalent atoms are Pr at (0.250, 0.250, 0.144), P at (0.250, 0.250, 0.651), Ir at (0.250, 0.750, 0.500) and O at (0.250, 0.750, 0.000).

As for the density of states at the Fermi level: 2.69 states/eV per cell. The total moment comes out at 0.0 μB/f.u. As for the uncorrected formation energy: -1.902 eV/atom.

21.
A geometry-optimized Sc2GaI structure. Source: the Alexandria database, functional PBE.

It has space group Fm-3m (No. 225), with a = 7.129 Å, b = 7.129 Å, c = 7.129 Å, α = 90.00°, β = 90.00° and γ = 90.00°. The inequivalent atoms are Sc at (0.250, 0.250, 0.250), Ga at (0.000, 0.000, 0.000) and I at (0.000, 0.000, 0.500).

As for the density of states at the Fermi level: 10.31 states/eV per cell. The total moment comes out at 0.0 μB/f.u. The relative energy among the computed polymorphs is 4.447 kcal/mol of atoms. As for the uncorrected formation energy: -0.254 eV/atom.

22.
A geometry-optimized PaIn6I12 structure. Source: the Alexandria database, functional PBE.

It has space group R-3 (No. 148, hexagonal axes), with a = 14.8749 Å, b = 14.8749 Å, c = 13.8777 Å, α = 90.00°, β = 90.00° and γ = 120.00°. The inequivalent atoms are Pa at (0.0000, 0.0000, 0.0000), In at (0.0341, 0.2524, 0.6160), I at (0.0294, 0.2084, 0.3809) and I at (0.0429, 0.1812, 0.8792).

As for the density of states at the Fermi level: 54.05 states/eV per cell. The total moment comes out at 0.0 μB/f.u. As for the uncorrected formation energy: -0.566 eV/atom.

23.
A geometry-optimized BeFeHg2 structure. Source: the Alexandria database, functional PBE.

It has space group I-42d (No. 122), with a = 4.099 Å, b = 4.099 Å, c = 17.968 Å, α = 90.00°, β = 90.00° and γ = 90.00°. The inequivalent atoms are Be at (0.000, 0.000, 0.000), Fe at (0.000, 0.000, 0.500) and Hg at (0.241, 0.250, 0.125).

As for the density of states at the Fermi level: 19.63 states/eV per cell. The formation energy from the elements is 0.7547 eV/atom. The total moment comes out at 2.8 μB/f.u.

24.
A geometry-optimized LaTm2Ga structure. Source: the Alexandria database, functional PBE.

It has space group P4/mmm (No. 123), with a = 3.520 Å, b = 3.520 Å, c = 9.008 Å, α = 90.00°, β = 90.00° and γ = 90.00°. The inequivalent atoms are La at (0.000, 0.000, 0.000), Tm at (0.500, 0.500, 0.300) and Ga at (0.000, 0.000, 0.500).

As for the density of states at the Fermi level: 3.85 states/eV per cell. The formation energy from the elements is -0.2850 eV/atom. The total moment comes out at 0.0 μB/f.u. The relative energy among the computed polymorphs is 0.000 kcal/mol of atoms.

25.
A geometry-optimized P2RuSe structure. Source: the Alexandria database, functional PBE.

It has space group I4/mmm (No. 139), with a = 5.003 Å, b = 5.003 Å, c = 5.032 Å, α = 90.00°, β = 90.00° and γ = 90.00°. The inequivalent atoms are P at (0.000, 0.500, 0.000), Ru at (0.000, 0.000, 0.000) and Se at (0.000, 0.000, 0.500).

As for the density of states at the Fermi level: 4.98 states/eV per cell. The total moment comes out at 0.0 μB/f.u. As for the uncorrected formation energy: 0.165 eV/atom.